The following is a DFT calculation (PBE with a Hubbard U) of Tm3MoO7 after structural relaxation.

```
Tm3MoO7
1.0
3.728 -5.198 0.000
3.728 5.198 0.000
0.000 0.000 7.365
Tm Mo O
6 2 14
Cartesian
0.243 0.000 0.000
2.001 2.422 1.886
5.455 2.422 1.797
2.001 -2.422 5.479
5.455 -2.422 5.568
7.214 0.000 3.682
3.715 0.000 3.682
3.741 0.000 0.000
3.728 3.837 5.524
3.728 3.767 1.841
2.182 1.276 7.170
2.335 1.331 3.967
2.182 -1.276 0.194
3.728 0.815 1.841
2.335 -1.331 3.398
5.121 1.331 7.080
3.728 -0.815 5.524
5.274 1.276 3.877
5.121 -1.331 0.285
5.274 -1.276 3.488
3.728 -3.767 5.524
3.728 -3.837 1.841
```

## Properties
total moment	0.091	μB per atom
E	-177.8	eV/cell